# Li2ZrTl

A geometry-optimized Li2ZrTl structure (GGA-PBE, Alexandria).

a = 9.9001 Å, b = 3.0268 Å, c = 5.5107 Å
α = 90.00°, β = 96.40°, γ = 90.00°
Space group C2/m (No. 12)
Inequivalent atoms, fractional coordinates:
Li  0.2442  0.0000  0.2358 (multiplicity 4)
Zr  0.0000  0.0000  0.5000 (multiplicity 2)
Tl  0.0000  0.5000  0.0000 (multiplicity 2)

Results
Magnetic moment ... 0.0 Bohr magnetons per cell
DFT total energy ... -29.3 eV per cell